(1)
Material: Li7Mn5O12
Method: DFT, PBE+U
State: relaxed

Cell and atoms, written as extended XYZ:
```
24
Lattice="5.957 -0.065 0.012 -0.270 5.969 0.011 1.423 1.503 6.120" Properties=species:S:1:pos:R:3 pbc="T T T"
O 2.914 3.042 2.086
O 4.309 4.364 3.996
O 4.267 4.555 0.101
O 4.213 1.493 4.096
O 2.480 6.060 6.050
O 1.518 4.397 4.178
O 2.805 2.866 6.113
O 5.629 5.846 1.957
O 5.682 3.075 1.949
O 6.021 2.897 6.120
O 1.411 1.554 4.166
O 2.856 5.791 2.153
Li 2.946 2.775 0.046
Li 5.558 6.088 4.052
Li 1.295 4.466 2.054
Li 2.976 -0.015 0.067
Li 1.429 1.510 2.062
Li 4.392 1.460 2.054
Li 5.813 2.910 4.030
Mn 2.724 5.967 4.069
Mn 4.257 4.425 2.066
Mn 2.892 2.928 4.075
Mn 5.816 2.911 0.033
Mn 5.917 -0.016 0.019
```

Properties
**Final energy**: -6.342 eV/atom
**ρ**: 3.9 g/cm3
**Energy above the most stable polymorph in this dataset**: 48 meV per atom
**SG**: P1, No. 1
**Fermi-level density of states**: 0.02 states/eV/atom

---

(2)
Material: Li2Mn3O8
Method: DFT, PBE+U
State: relaxed

Cell and atoms, written as extended XYZ:
```
13
Lattice="4.938 0.000 -0.537 0.000 5.849 0.000 -2.506 -2.924 5.156" Properties=species:S:1:pos:R:3 pbc="T T T"
Mn 0.000 4.330 0.000
Mn 2.469 0.000 -0.268
Mn 0.000 1.519 0.000
O -1.800 2.924 4.058
O 1.722 1.381 0.790
O 0.711 1.543 3.830
O 0.711 -1.543 3.830
O 1.722 4.468 0.790
O 2.953 0.000 3.489
O 4.233 0.000 0.561
O -0.520 2.924 1.130
Li 2.662 2.924 1.590
Li -0.229 0.000 3.030
```

Properties
**Final energy**: -6.400 eV/atom
**ρ**: 3.6 g/cm3
**SG**: C2/m, No. 12
**Fermi-level density of states**: 0.41 states/eV/atom

---

(3)
Material: LiMnO2
Method: DFT, PBE+U
State: relaxed

Cell and atoms, written as extended XYZ:
```
32
Lattice="5.921 0.018 -0.020 0.134 5.932 -0.003 0.019 0.062 8.468" Properties=species:S:1:pos:R:3 pbc="T T T"
Mn 5.900 0.038 0.000
Mn 1.614 4.478 6.367
Mn 1.530 1.517 6.350
Mn 5.918 0.067 4.183
Mn 4.463 1.530 2.084
Mn 3.051 2.988 4.198
Mn 4.543 4.489 2.099
Mn 3.037 2.967 0.006
O 2.973 2.914 1.993
O 3.161 0.068 2.102
O 2.911 5.933 6.351
O 5.782 2.974 2.088
O 4.405 1.570 0.038
O 0.172 5.808 6.396
O 3.055 3.145 6.458
O 1.593 1.579 4.375
O 0.041 0.123 2.066
O 4.644 4.573 0.109
O 1.667 4.440 8.335
O 0.297 3.041 6.361
O 1.425 1.445 8.330
O 4.444 1.566 4.139
O 1.636 4.442 4.408
O 4.485 4.426 4.086
Li 5.980 2.983 -0.005
Li 4.488 1.561 6.343
Li 1.511 1.504 2.076
Li 2.965 0.016 0.007
Li 1.583 4.468 2.063
Li 4.566 4.509 6.356
Li 5.993 3.012 4.199
Li 2.976 0.040 4.212
```

Properties
**Final energy**: -6.564 eV/atom
**ρ**: 4.2 g/cm3
**SG**: P1, No. 1
**Fermi-level density of states**: 0.10 states/eV/atom

---

(4)
Material: Li9Mn14O32
Method: DFT, PBE+U
State: relaxed

Cell and atoms, written as extended XYZ:
```
55
Lattice="-4.432 0.755 3.765 -2.256 -4.612 2.834 10.212 1.289 16.438" Properties=species:S:1:pos:R:3 pbc="T T T"
Mn 4.190 0.077 18.753
Mn -2.416 -2.556 9.087
Mn 3.327 0.684 12.970
Mn 5.524 0.312 11.111
Mn -0.678 -2.616 4.290
Mn 0.193 -3.274 10.070
Mn -2.897 -2.245 6.168
Mn -0.897 -0.587 10.536
Mn 5.298 -2.655 18.279
Mn -3.325 -1.925 3.325
Mn -1.762 0.057 4.754
Mn 5.065 0.637 8.167
Mn 6.448 -0.308 16.842
Mn 4.403 -1.970 12.509
O -0.612 -1.811 9.007
O 5.879 1.129 15.749
O 7.037 -1.706 18.128
O 6.882 -1.345 15.319
O 0.622 0.728 7.289
O -2.543 -3.214 4.518
O 3.255 -0.118 8.289
O 1.460 0.100 13.215
O 6.077 0.663 18.539
O -1.545 -1.195 3.279
O 0.619 -2.758 17.341
O 1.647 -0.377 15.984
O -0.204 -2.081 11.520
O -1.146 -1.490 5.909
O -4.246 -3.298 9.086
O -2.281 -3.628 7.380
O 2.028 -2.649 10.011
O 4.662 -1.097 17.218
O -4.642 -3.002 6.451
O 8.200 0.461 16.506
O 1.804 -2.186 6.784
O -3.247 -1.246 7.794
O 0.850 0.255 10.515
O -3.493 -0.872 4.924
O 7.925 0.783 14.009
O 0.195 -2.483 14.768
O 5.075 -1.374 19.778
O 2.856 0.155 5.780
O 3.753 -0.462 11.436
O 4.037 -0.782 13.943
O 2.820 -3.271 15.482
O 2.682 -2.915 12.692
Li 5.969 -0.003 13.967
Li 3.286 -1.383 15.650
Li 1.006 -1.849 13.007
Li 1.964 -2.480 18.885
Li 2.400 -0.758 9.980
Li -2.021 -2.891 11.939
Li 4.260 -1.999 21.479
Li 1.670 -0.063 4.267
Li 0.222 -1.173 7.279
```

Properties
**Final energy**: -6.682 eV/atom
**ρ**: 3.9 g/cm3
**SG**: Cm, No. 8
**Fermi-level density of states**: 0.09 states/eV/atom

---

(5)
Material: Li3Mn5O12
Method: DFT, PBE+U
State: relaxed

Cell and atoms, written as extended XYZ:
```
80
Lattice="-9.307 3.661 -3.176 2.084 -9.018 -4.945 -0.246 -1.666 10.358" Properties=species:S:1:pos:R:3 pbc="T T T"
O -4.727 -4.662 4.539
O -1.761 -1.849 9.085
O -3.717 -6.477 -2.071
O 0.939 -6.676 4.179
O -4.390 -4.068 -0.673
O -0.468 -1.696 0.924
O -6.313 1.484 -2.625
O -0.493 -5.577 -3.143
O -2.092 -4.004 5.453
O -7.713 -0.240 0.719
O -5.761 1.752 0.059
O -1.708 -8.775 2.177
O -8.423 1.050 5.849
O 0.243 -6.783 1.517
O 0.980 -8.446 -0.771
O -4.158 -5.346 1.755
O -6.816 -4.912 -1.516
O -7.930 -2.119 -4.159
O -0.259 -3.464 -1.394
O -7.002 -5.327 1.313
O -3.080 -2.955 2.910
O -3.699 -7.797 0.344
O -1.372 -6.714 -0.650
O -5.709 -5.174 -6.848
O -3.311 -1.678 0.482
O -8.450 1.422 3.008
O -3.075 -4.584 -3.892
O -7.211 -3.559 3.631
O -6.976 -1.446 5.380
O -4.432 -0.138 -1.437
O -6.498 -2.063 -0.949
O -1.946 -4.195 0.589
O 0.460 -4.904 6.395
O -5.378 -3.019 -3.216
O -8.409 -0.347 -1.942
O 0.954 -8.073 -3.612
O -0.971 -4.960 3.185
O -1.719 -1.273 6.278
O -4.395 -2.439 6.128
O -3.752 -0.546 4.308
O -2.743 -2.361 -2.302
O -3.770 0.774 1.892
O -0.654 -2.111 3.753
O -1.156 -8.507 4.861
O -6.098 -0.309 2.887
O -5.751 -5.750 -4.041
O -3.037 -6.885 3.674
O -5.524 -2.828 1.648
Mn -4.654 1.830 -1.588
Mn -4.055 -6.019 -3.722
Mn -3.735 -3.512 1.118
Mn -0.123 -0.833 5.179
Mn 1.042 -4.509 -2.472
Mn -0.534 -7.184 -3.826
Mn -7.777 -0.092 2.458
Mn 0.000 0.000 0.000
Mn 0.307 -6.931 -0.221
Mn -0.443 -3.341 0.338
Mn -3.612 -2.679 -4.061
Mn -1.699 -3.508 3.825
Mn -6.935 0.161 6.063
Mn 0.919 -5.342 2.707
Mn -5.770 -3.515 -1.589
Mn -7.026 -3.682 1.899
Mn -4.777 0.997 3.591
Mn -4.469 -5.933 3.369
Mn -3.414 -1.004 5.959
Mn -3.000 -1.090 -1.133
Li -0.858 -3.255 7.430
Li 0.476 -8.683 3.045
Li -2.249 -4.680 -1.692
Li -2.159 -0.837 2.472
Li -5.388 -0.591 0.663
Li -6.230 -0.844 -2.942
Li -6.612 -3.769 -5.193
Li -1.240 -6.179 5.179
Li -5.311 -6.186 -0.235
Li -2.081 -6.432 1.574
Li -5.220 -2.343 3.929
Li -7.945 1.659 -0.808
```

Properties
**Final energy**: -6.421 eV/atom
**ρ**: 3.6 g/cm3
**SG**: Ia-3d, No. 230
**Fermi-level density of states**: 0.24 states/eV/atom

---

(6)
Material: Li7Mn5O12
Method: DFT, PBE+U
State: relaxed

Cell and atoms, written as extended XYZ:
```
24
Lattice="-2.435 5.186 0.724 -4.372 1.703 -3.560 -6.946 2.835 6.264" Properties=species:S:1:pos:R:3 pbc="T T T"
Li -6.877 4.862 1.714
Li -5.004 5.734 0.342
Li -7.878 5.706 5.321
Li -5.875 4.018 -1.894
Li -5.659 2.269 1.352
Li -8.750 3.989 3.086
Li -4.691 4.010 3.494
O -5.683 2.334 -0.805
O -8.071 7.389 4.232
O -6.980 4.958 -0.363
O -3.050 2.142 -1.564
O -3.655 1.537 1.187
O -4.510 4.140 1.414
O -6.244 5.697 -2.977
O -10.099 8.186 2.240
O -6.774 4.765 3.791
O -7.509 4.027 6.404
O -9.244 5.584 2.014
O -10.703 7.582 4.991
Mn -7.212 6.529 -1.461
Mn -6.541 3.194 4.888
Mn -3.795 3.089 -0.008
Mn -3.473 1.417 3.132
Mn -9.959 6.635 3.435
```

Properties
**Final energy**: -6.330 eV/atom
**ρ**: 3.9 g/cm3
**Energy above the most stable polymorph in this dataset**: 61 meV per atom
**SG**: P-1, No. 2
**Fermi-level density of states**: 0.01 states/eV/atom